No. 1
ZrAgTePb2 | PBE | optimized geometry

Unit cell a=5.450 b=5.602 c=5.450 alpha=90.00 beta=90.00 gamma=90.00
Site moments in Bohr magnetons follow the coordinates.
Element x y z (fractional)
1 Pb 0.000 0.000 0.500  -0.02
2 Pb 0.500 0.000 0.000  0.01
3 Zr 0.500 0.500 0.500  1.07
4 Ag 0.000 0.000 0.000  -0.01
5 Te 0.000 0.500 0.000  -0.01

Output
raw formation energy: 0.71 eV per atom
size of the total moment: 1.63 Bohr magnetons per cell

No. 2
ThAgPb2 | PBE | optimized geometry

Unit cell a=5.194 b=5.194 c=8.381 alpha=71.95 beta=71.95 gamma=60.00
Element x y z (fractional)
1 Ag 0.000 0.000 0.000
2 Pb 0.118 0.118 0.647
3 Pb 0.882 0.882 0.353
4 Th 0.500 0.500 0.500

Output
size of the total moment: 0.00 Bohr magnetons per cell
formation enthalpy at 0 K: 14.438 kcal/mol of atoms

No. 3
Th3AgPb4 | PBE | optimized geometry

Unit cell a=6.670 b=6.615 c=10.568 alpha=90.00 beta=90.00 gamma=90.00
Element x y z (fractional)
1 Pb 0.938 0.255 0.251
2 Pb 0.194 0.503 0.500
3 Pb 0.186 0.005 0.000
4 Pb 0.438 0.745 0.249
5 Pb 0.686 0.995 0.500
6 Pb 0.438 0.745 0.751
7 Pb 0.694 0.497 0.000
8 Pb 0.938 0.255 0.749
9 Th 0.438 0.245 0.250
10 Th 0.938 0.755 0.250
11 Th 0.438 0.245 0.750
12 Th 0.938 0.755 0.750
13 Th 0.687 0.997 0.000
14 Th 0.187 0.003 0.500
15 Ag 0.196 0.508 0.000
16 Ag 0.696 0.492 0.500

Output
size of the total moment: 0.00 Bohr magnetons per cell
formation enthalpy at 0 K: -3.918 kcal/mol of atoms

No. 4
ThAgPb2 | PBE | optimized geometry

Unit cell a=4.609 b=4.847 c=4.847 alpha=90.00 beta=90.00 gamma=90.00
Element x y z (fractional)
1 Pb 0.000 0.500 0.000
2 Pb 0.000 0.000 0.500
3 Ag 0.500 0.000 0.000
4 Th 0.500 0.500 0.500

Output
size of the total moment: 0.00 Bohr magnetons per cell
formation enthalpy at 0 K: -4.380 kcal/mol of atoms

No. 5
Th2Ag3Pb | PBE | optimized geometry

Unit cell a=6.066 b=6.066 c=9.953 alpha=114.31 beta=114.31 gamma=69.46
Element x y z (fractional)
1 Ag 0.164 0.164 0.837
2 Ag 0.327 0.327 0.163
3 Ag 0.836 0.836 0.163
4 Ag 0.837 0.837 0.674
5 Ag 0.673 0.673 0.837
6 Ag 0.163 0.163 0.326
7 Th 0.750 0.250 0.500
8 Th 0.250 0.750 0.500
9 Th 0.761 0.239 0.000
10 Th 0.239 0.761 0.000
11 Pb 0.666 0.666 0.331
12 Pb 0.334 0.334 0.669

Output
size of the total moment: 0.00 Bohr magnetons per cell
formation enthalpy at 0 K: -4.114 kcal/mol of atoms

No. 6
TmThAgPb | PBE | optimized geometry

Unit cell a=5.340 b=5.340 c=5.340 alpha=60.00 beta=60.00 gamma=60.00
Element x y z (fractional)
1 Pb 0.000 0.000 0.000
2 Ag 0.500 0.500 0.500
3 Th 0.750 0.750 0.750
4 Tm 0.250 0.250 0.250

Output
size of the total moment: 0.00 Bohr magnetons per cell
formation enthalpy at 0 K: -4.763 kcal/mol of atoms

No. 7
Tm2ThAg2Pb2 | PBE | optimized geometry

Unit cell a=4.961 b=4.961 c=9.050 alpha=74.09 beta=74.09 gamma=60.00
Element x y z (fractional)
1 Th 0.000 0.000 0.000
2 Tm 0.133 0.133 0.601
3 Tm 0.867 0.867 0.399
4 Pb 0.265 0.265 0.204
5 Pb 0.735 0.735 0.796
6 Ag 0.442 0.442 0.673
7 Ag 0.558 0.558 0.327

Output
size of the total moment: 0.00 Bohr magnetons per cell
formation enthalpy at 0 K: -4.322 kcal/mol of atoms

No. 8
YThAgPb | PBE | optimized geometry

Unit cell a=5.372 b=5.372 c=5.372 alpha=60.00 beta=60.00 gamma=60.00
Element x y z (fractional)
1 Ag 0.500 0.500 0.500
2 Pb 0.000 0.000 0.000
3 Th 0.250 0.250 0.250
4 Y 0.750 0.750 0.750

Output
size of the total moment: 0.00 Bohr magnetons per cell
formation enthalpy at 0 K: -5.621 kcal/mol of atoms